HfCdB | PBE-GGA | relaxed

It has space group F-43m (No. 216), with a = 6.0307 Å, b = 6.0307 Å, c = 6.0307 Å, α = 90.00°, β = 90.00° and γ = 90.00°. The asymmetric unit holds Hf at (0.0000, 0.0000, 0.0000), Cd at (0.2500, 0.2500, 0.7500) and B at (0.0000, 0.0000, 0.5000).

The energy above the lowest structure with this stoichiometry comes out at 0.189 eV per atom. Its magnetization is 0.01 μB per cell.